# 1
The following is a meta-GGA SCAN calculation of a PBEsol-optimized structure of YSb2, from Alexandria.

Calculated values
- Formation energy (no corrections): -1.37 eV/f.u.

Unit cell a=3.3135 b=3.3135 c=14.9641 alpha=90.00 beta=90.00 gamma=90.00
Last column: nearest neighbours and their distance in Å.
Space group I4/mmm (No. 139)
Symmetry-distinct sites (fractional):
Y: 0.0000 0.0000 0.0000  8 Sb 3.24, 4 Y 3.31
Sb: 0.0000 0.0000 0.3507  4 Y 3.24, 4 Sb 3.31

***

# 2
The following is a meta-GGA SCAN calculation of a PBEsol-optimized structure of MnSe, from Alexandria.

Calculated values
- Formation energy (no corrections): -1.03 eV/f.u.

Unit cell a=11.9546 b=3.2656 c=5.8477 alpha=90.00 beta=118.15 gamma=90.00
Last column: nearest neighbours and their distance in Å.
Space group Cm (No. 8)
Symmetry-distinct sites (fractional):
Mn: 0.0000 0.0000 0.0000  4 Se 2.31-2.38
Mn: 0.0594 0.5000 0.3845  5 Se 2.34-2.39, 2 Mn 2.59
Mn: 0.1744 0.5000 0.9633  6 Se 2.62-2.78, 2 Mn 2.73
Se: 0.0102 0.0000 0.6158  3 Mn 2.31-2.36
Se: 0.2016 0.0000 0.3705  3 Mn 2.36-2.39
Se: 0.3600 0.0000 0.0181  3 Mn 2.34-2.38

***

# 3
The following is a meta-GGA SCAN calculation of a PBEsol-optimized structure of LiAgCl2, from Alexandria.

Calculated values
- Formation energy (no corrections): -5.05 eV/f.u.

Unit cell a=5.6979 b=5.6979 c=11.0898 alpha=90.00 beta=90.00 gamma=90.00
Last column: nearest neighbours and their distance in Å.
Space group I-42d (No. 122)
Symmetry-distinct sites (fractional):
Li: 0.0000 0.0000 0.0000  4 Cl 2.35
Ag: 0.0000 0.0000 0.5000  4 Cl 2.55
Cl: 0.2209 0.2500 0.1250  2 Li 2.35, 2 Ag 2.55

***

# 4
The following is a meta-GGA SCAN calculation of a PBEsol-optimized structure of Mg3Mo, from Alexandria.

Calculated values
- DFT formation energy: 2.1 eV per formula unit
- Relative energy among the computed polymorphs: 249.4 meV/atom

Unit cell a=5.3009 b=5.3009 c=5.3009 alpha=90.00 beta=90.00 gamma=90.00
Last column: nearest neighbours and their distance in Å.
Space group Pm-3n (No. 223)
Symmetry-distinct sites (fractional):
Mg: 0.0000 0.2500 0.5000  2 Mg 2.65, 4 Mo 2.96
Mo: 0.0000 0.0000 0.0000  12 Mg 2.96

***

# 5
The following is a meta-GGA SCAN calculation of a PBEsol-optimized structure of AsIr2W, from Alexandria.

Calculated values
- DFT formation energy: 1.0 eV per formula unit

Unit cell a=6.1876 b=6.1876 c=6.1876 alpha=90.00 beta=90.00 gamma=90.00
Last column: nearest neighbours and their distance in Å.
Space group F-43m (No. 216)
Symmetry-distinct sites (fractional):
As: 0.0000 0.0000 0.0000  4 W 2.68, 4 Ir 2.68
Ir: 0.0000 0.0000 0.5000  4 W 2.68, 4 Ir 2.68
Ir: 0.2500 0.2500 0.7500  4 Ir 2.68, 4 As 2.68
W: 0.2500 0.2500 0.2500  4 As 2.68, 4 Ir 2.68

***

# 6
The following is a meta-GGA SCAN calculation of a PBEsol-optimized structure of Zr2MnAu, from Alexandria.

Calculated values
- DFT formation energy: -1.3 eV per formula unit
- Relative energy among the computed polymorphs: 100.0 meV/atom

Unit cell a=3.2460 b=4.5556 c=9.7144 alpha=90.00 beta=90.00 gamma=90.00
Last column: nearest neighbours and their distance in Å.
Space group Imm2 (No. 44)
Symmetry-distinct sites (fractional):
Zr: 0.0000 0.0000 0.0000  4 Mn 2.80, 2 Au 3.10, 2 Zr 3.12
Zr: 0.0000 0.5000 0.2194  2 Mn 2.76, 4 Au 2.84
Mn: 0.0000 0.0000 0.4896  2 Au 2.67, 6 Zr 2.76-2.80
Au: 0.0000 0.5000 0.7719  2 Mn 2.67, 4 Zr 2.84

***

Number 1: calculated total energy -207.5 eV for the cell shown. Number 2: calculated total energy -236.2 eV for the cell shown. Number 3: calculated total energy -219.1 eV for the cell shown. Number 4: calculated total energy -95.3 eV for the cell shown. Number 5: calculated total energy -924.2 eV for the cell shown. Number 6: calculated total energy -300.3 eV for the cell shown.